The following is a DFT calculation (PBE) of AcSn12Ir6 after structural relaxation. Values from VASP.

Calculated values
The space group is R-3m, No. 166. The formation energy comes out at -0.1519 eV per atom.

Quantum ESPRESSO input file:
```
&SYSTEM
  ibrav = 0, nat = 19, ntyp = 3
/
ATOMIC_SPECIES
Ac 227.00 Ac.upf
Sn 118.71 Sn.upf
Ir 192.22 Ir.upf
ATOMIC_POSITIONS angstrom
Ac 0.000 0.000 0.000
Sn -2.428 -4.206 4.537
Sn -4.857 0.000 4.537
Sn -1.653 -0.955 2.884
Sn 1.653 -0.955 2.884
Sn 0.000 1.909 2.884
Sn 2.428 -4.206 4.537
Sn -2.428 4.206 4.537
Sn 0.000 -1.909 6.190
Sn -1.653 0.955 6.190
Sn 1.653 0.955 6.190
Sn 4.857 0.000 4.537
Sn 2.428 4.206 4.537
Ir 0.000 -3.168 3.784
Ir -2.744 1.584 3.784
Ir -2.744 -1.584 5.289
Ir 2.744 1.584 3.784
Ir 2.744 -1.584 5.289
Ir 0.000 3.168 5.289
CELL_PARAMETERS angstrom
6.409 3.700 3.024
-6.409 3.700 3.024
0.000 -7.401 3.024
```

***

The following is a DFT calculation (PBE) of ZnCoHgGe2 after structural relaxation. Values from VASP.

Calculated values
The space group is P4/mmm, No. 123. The formation energy comes out at 0.0928 eV per atom.

Quantum ESPRESSO input file:
```
&SYSTEM
  ibrav = 0, nat = 5, ntyp = 4
/
ATOMIC_SPECIES
Zn 65.41 Zn.upf
Co 58.93 Co.upf
Hg 200.59 Hg.upf
Ge 72.64 Ge.upf
ATOMIC_POSITIONS angstrom
Zn 0.000 0.000 0.000
Co 0.000 0.000 2.398
Hg 2.258 2.258 0.000
Ge 0.000 2.258 2.398
Ge 2.258 0.000 2.398
CELL_PARAMETERS angstrom
4.515 0.000 0.000
0.000 4.515 0.000
0.000 0.000 4.797
```

***

The following is a DFT calculation (PBE) of BaRu2Pt after structural relaxation. Values from VASP.

Calculated values
The calculation puts the excess energy over the best structure of this formula in the dataset at 784 meV/atom. The space group is Cmmm, No. 65. The formation energy comes out at 0.8916 eV per atom.

Quantum ESPRESSO input file:
```
&SYSTEM
  ibrav = 0, nat = 4, ntyp = 3
/
ATOMIC_SPECIES
Ba 137.33 Ba.upf
Ru 101.07 Ru.upf
Pt 195.08 Pt.upf
ATOMIC_POSITIONS angstrom
Ba 0.000 0.000 0.000
Ru 1.512 2.141 1.469
Ru 1.512 -2.141 1.469
Pt 3.024 0.000 0.000
CELL_PARAMETERS angstrom
3.024 -4.281 0.000
3.024 4.281 0.000
0.000 0.000 2.938
```

***

Calculated values (Bohr magnetons per cell) of M_tot for the records, taken in order: 0.00; 0.00; 1.81.